Model A:
Here is LaCoAsAu after structural relaxation from the Open Quantum Materials Database. Energies are from PBE-GGA.

abc: 6.8824 6.8824 6.8824
angles: 90.00 90.00 90.00
With the nearest neighbours (Å) after each atom.
Sites, in units of the cell vectors:
1 La 0.0000 0.0000 0.0000  4 Au 2.98, 4 Co 2.98
2 La 0.0000 0.5000 0.5000  4 Au 2.98, 4 Co 2.98
3 La 0.5000 0.0000 0.5000  4 Au 2.98, 4 Co 2.98
4 La 0.5000 0.5000 0.0000  4 Au 2.98, 4 Co 2.98
5 Co 0.2500 0.2500 0.2500  4 La 2.98, 4 As 2.98
6 Co 0.2500 0.7500 0.7500  4 La 2.98, 4 As 2.98
7 Co 0.7500 0.2500 0.7500  4 La 2.98, 4 As 2.98
8 Co 0.7500 0.7500 0.2500  4 La 2.98, 4 As 2.98
9 As 0.0000 0.0000 0.5000  4 Co 2.98, 4 Au 2.98
10 As 0.0000 0.5000 0.0000  4 Co 2.98, 4 Au 2.98
11 As 0.5000 0.0000 0.0000  4 Co 2.98, 4 Au 2.98
12 As 0.5000 0.5000 0.5000  4 Co 2.98, 4 Au 2.98
13 Au 0.2500 0.2500 0.7500  4 As 2.98, 4 La 2.98
14 Au 0.2500 0.7500 0.2500  4 As 2.98, 4 La 2.98
15 Au 0.7500 0.2500 0.2500  4 As 2.98, 4 La 2.98
16 Au 0.7500 0.7500 0.7500  4 As 2.98, 4 La 2.98

Summary:
M_tot = 1.34 μB/f.u.


Model B:
Here is LaCoAsAu after structural relaxation from the Open Quantum Materials Database. Energies are from PBE-GGA.

abc: 6.9409 6.9409 6.9409
angles: 90.00 90.00 90.00
With the nearest neighbours (Å) after each atom.
Sites, in units of the cell vectors:
1 La 0.0000 0.0000 0.0000  4 Au 3.01, 4 As 3.01
2 La 0.0000 0.5000 0.5000  4 Au 3.01, 4 As 3.01
3 La 0.5000 0.0000 0.5000  4 Au 3.01, 4 As 3.01
4 La 0.5000 0.5000 0.0000  4 Au 3.01, 4 As 3.01
5 Co 0.0000 0.0000 0.5000  4 As 3.01, 4 Au 3.01
6 Co 0.0000 0.5000 0.0000  4 As 3.01, 4 Au 3.01
7 Co 0.5000 0.0000 0.0000  4 As 3.01, 4 Au 3.01
8 Co 0.5000 0.5000 0.5000  4 As 3.01, 4 Au 3.01
9 As 0.2500 0.2500 0.2500  4 La 3.01, 4 Co 3.01
10 As 0.2500 0.7500 0.7500  4 La 3.01, 4 Co 3.01
11 As 0.7500 0.2500 0.7500  4 La 3.01, 4 Co 3.01
12 As 0.7500 0.7500 0.2500  4 La 3.01, 4 Co 3.01
13 Au 0.2500 0.2500 0.7500  4 Co 3.01, 4 La 3.01
14 Au 0.2500 0.7500 0.2500  4 Co 3.01, 4 La 3.01
15 Au 0.7500 0.2500 0.2500  4 Co 3.01, 4 La 3.01
16 Au 0.7500 0.7500 0.7500  4 Co 3.01, 4 La 3.01

Summary:
M_tot = 1.93 μB/f.u.


Model C:
Here is LaCoAsAu after structural relaxation from the Open Quantum Materials Database. Energies are from PBE-GGA.

abc: 6.9007 6.9007 6.9007
angles: 90.00 90.00 90.00
With the nearest neighbours (Å) after each atom.
Sites, in units of the cell vectors:
1 La 0.0000 0.0000 0.0000  4 As 2.99, 4 Co 2.99
2 La 0.0000 0.5000 0.5000  4 As 2.99, 4 Co 2.99
3 La 0.5000 0.0000 0.5000  4 As 2.99, 4 Co 2.99
4 La 0.5000 0.5000 0.0000  4 As 2.99, 4 Co 2.99
5 Co 0.2500 0.2500 0.2500  4 La 2.99, 4 Au 2.99
6 Co 0.2500 0.7500 0.7500  4 La 2.99, 4 Au 2.99
7 Co 0.7500 0.2500 0.7500  4 La 2.99, 4 Au 2.99
8 Co 0.7500 0.7500 0.2500  4 La 2.99, 4 Au 2.99
9 As 0.2500 0.2500 0.7500  4 Au 2.99, 4 La 2.99
10 As 0.2500 0.7500 0.2500  4 Au 2.99, 4 La 2.99
11 As 0.7500 0.2500 0.2500  4 Au 2.99, 4 La 2.99
12 As 0.7500 0.7500 0.7500  4 Au 2.99, 4 La 2.99
13 Au 0.0000 0.0000 0.5000  4 Co 2.99, 4 As 2.99
14 Au 0.0000 0.5000 0.0000  4 Co 2.99, 4 As 2.99
15 Au 0.5000 0.0000 0.0000  4 Co 2.99, 4 As 2.99
16 Au 0.5000 0.5000 0.5000  4 Co 2.99, 4 As 2.99

Summary:
M_tot = 1.51 μB/f.u.


Going by the energies, model B is most stable and the next is 0.128 eV/atom up.


Model A:
Here is NbCoAsAu after structural relaxation from the Open Quantum Materials Database. Energies are from PBE-GGA.

abc: 6.3885 6.3885 6.3885
angles: 90.00 90.00 90.00
With the nearest neighbours (Å) after each atom.
Sites, in units of the cell vectors:
1 Nb 0.0000 0.0000 0.0000  4 Co 2.77, 4 Au 2.77
2 Nb 0.0000 0.5000 0.5000  4 Co 2.77, 4 Au 2.77
3 Nb 0.5000 0.0000 0.5000  4 Co 2.77, 4 Au 2.77
4 Nb 0.5000 0.5000 0.0000  4 Co 2.77, 4 Au 2.77
5 Co 0.2500 0.2500 0.7500  4 As 2.77, 4 Nb 2.77
6 Co 0.2500 0.7500 0.2500  4 As 2.77, 4 Nb 2.77
7 Co 0.7500 0.2500 0.2500  4 As 2.77, 4 Nb 2.77
8 Co 0.7500 0.7500 0.7500  4 Nb 2.77, 4 As 2.77
9 As 0.0000 0.0000 0.5000  4 Co 2.77, 4 Au 2.77
10 As 0.0000 0.5000 0.0000  4 Co 2.77, 4 Au 2.77
11 As 0.5000 0.0000 0.0000  4 Co 2.77, 4 Au 2.77
12 As 0.5000 0.5000 0.5000  4 Au 2.77, 4 Co 2.77
13 Au 0.2500 0.2500 0.2500  4 As 2.77, 4 Nb 2.77
14 Au 0.2500 0.7500 0.7500  4 As 2.77, 4 Nb 2.77
15 Au 0.7500 0.2500 0.7500  4 As 2.77, 4 Nb 2.77
16 Au 0.7500 0.7500 0.2500  4 As 2.77, 4 Nb 2.77

Summary:
M_tot = 0.03 μB/f.u.


Model B:
Here is NbCoAsAu after structural relaxation from the Open Quantum Materials Database. Energies are from PBE-GGA.

abc: 6.3121 6.3121 6.3121
angles: 90.00 90.00 90.00
With the nearest neighbours (Å) after each atom.
Sites, in units of the cell vectors:
1 Nb 0.0000 0.0000 0.0000  4 Au 2.73, 4 As 2.73
2 Nb 0.0000 0.5000 0.5000  4 Au 2.73, 4 As 2.73
3 Nb 0.5000 0.0000 0.5000  4 Au 2.73, 4 As 2.73
4 Nb 0.5000 0.5000 0.0000  4 Au 2.73, 4 As 2.73
5 Co 0.0000 0.0000 0.5000  4 As 2.73, 4 Au 2.73
6 Co 0.0000 0.5000 0.0000  4 As 2.73, 4 Au 2.73
7 Co 0.5000 0.0000 0.0000  4 As 2.73, 4 Au 2.73
8 Co 0.5000 0.5000 0.5000  4 As 2.73, 4 Au 2.73
9 As 0.2500 0.2500 0.2500  4 Nb 2.73, 4 Co 2.73
10 As 0.2500 0.7500 0.7500  4 Nb 2.73, 4 Co 2.73
11 As 0.7500 0.2500 0.7500  4 Nb 2.73, 4 Co 2.73
12 As 0.7500 0.7500 0.2500  4 Nb 2.73, 4 Co 2.73
13 Au 0.2500 0.2500 0.7500  4 Co 2.73, 4 Nb 2.73
14 Au 0.2500 0.7500 0.2500  4 Co 2.73, 4 Nb 2.73
15 Au 0.7500 0.2500 0.2500  4 Co 2.73, 4 Nb 2.73
16 Au 0.7500 0.7500 0.7500  4 Co 2.73, 4 Nb 2.73

Summary:
M_tot = 0.44 μB/f.u.


Going by the energies, model B is most stable and the next is 0.254 eV/atom up.


Model A:
Here is CoNiAsAu after structural relaxation from the Open Quantum Materials Database. Energies are from PBE-GGA.

abc: 6.0550 6.0550 6.0550
angles: 90.00 90.00 90.00
With the nearest neighbours (Å) after each atom.
Sites, in units of the cell vectors:
1 Co 0.0000 0.0000 0.0000  4 Au 2.62, 4 As 2.62
2 Co 0.0000 0.5000 0.5000  4 As 2.62, 4 Au 2.62
3 Co 0.5000 0.0000 0.5000  4 As 2.62, 4 Au 2.62
4 Co 0.5000 0.5000 0.0000  4 As 2.62, 4 Au 2.62
5 Ni 0.0000 0.0000 0.5000  4 As 2.62, 4 Au 2.62
6 Ni 0.0000 0.5000 0.0000  4 As 2.62, 4 Au 2.62
7 Ni 0.5000 0.0000 0.0000  4 As 2.62, 4 Au 2.62
8 Ni 0.5000 0.5000 0.5000  4 As 2.62, 4 Au 2.62
9 As 0.2500 0.2500 0.7500  4 Co 2.62, 4 Ni 2.62
10 As 0.2500 0.7500 0.2500  4 Co 2.62, 4 Ni 2.62
11 As 0.7500 0.2500 0.2500  4 Co 2.62, 4 Ni 2.62
12 As 0.7500 0.7500 0.7500  4 Ni 2.62, 4 Co 2.62
13 Au 0.2500 0.2500 0.2500  4 Co 2.62, 4 Ni 2.62
14 Au 0.2500 0.7500 0.7500  4 Co 2.62, 4 Ni 2.62
15 Au 0.7500 0.2500 0.7500  4 Co 2.62, 4 Ni 2.62
16 Au 0.7500 0.7500 0.2500  4 Co 2.62, 4 Ni 2.62

Summary:
M_tot = 1.27 μB/f.u.


Model B:
Here is CoNiAsAu after structural relaxation from the Open Quantum Materials Database. Energies are from PBE-GGA.

abc: 6.1130 6.1130 6.1130
angles: 90.00 90.00 90.00
With the nearest neighbours (Å) after each atom.
Sites, in units of the cell vectors:
1 Co 0.0000 0.0000 0.0000  4 Ni 2.65, 4 As 2.65
2 Co 0.0000 0.5000 0.5000  4 Ni 2.65, 4 As 2.65
3 Co 0.5000 0.0000 0.5000  4 Ni 2.65, 4 As 2.65
4 Co 0.5000 0.5000 0.0000  4 Ni 2.65, 4 As 2.65
5 Ni 0.2500 0.2500 0.2500  4 Au 2.65, 4 Co 2.65
6 Ni 0.2500 0.7500 0.7500  4 Au 2.65, 4 Co 2.65
7 Ni 0.7500 0.2500 0.7500  4 Au 2.65, 4 Co 2.65
8 Ni 0.7500 0.7500 0.2500  4 Au 2.65, 4 Co 2.65
9 As 0.2500 0.2500 0.7500  4 Co 2.65, 4 Au 2.65
10 As 0.2500 0.7500 0.2500  4 Co 2.65, 4 Au 2.65
11 As 0.7500 0.2500 0.2500  4 Co 2.65, 4 Au 2.65
12 As 0.7500 0.7500 0.7500  4 Co 2.65, 4 Au 2.65
13 Au 0.0000 0.0000 0.5000  4 As 2.65, 4 Ni 2.65
14 Au 0.0000 0.5000 0.0000  4 As 2.65, 4 Ni 2.65
15 Au 0.5000 0.0000 0.0000  4 As 2.65, 4 Ni 2.65
16 Au 0.5000 0.5000 0.5000  4 As 2.65, 4 Ni 2.65

Summary:
M_tot = 1.72 μB/f.u.


Going by the energies, model A is most stable and the next is 0.134 eV/atom up.